[1]
Computed, not measured: a relaxed structure of SrTaTc2 at the GGA-PBEsol level of DFT.

## Properties
The energy relative to the lowest polymorph listed for this composition is 333 meV/atom. The total moment is 0.00 Bohr magnetons per cell. Its energy relative to the elements is 0.72 eV/atom.

Lattice parameters (Å, degrees): 5.6353 5.6353 5.6353 148.23 128.17 62.09
With the nearest neighbours (Å) after each atom.
Element x y z (fractional)
Sr1 0.0000 0.0000 0.0000  6 Tc 2.91-3.04, 2 Sr 3.08, 4 Ta 3.14-3.23
Ta1 0.2828 0.7828 0.5000  6 Tc 2.72-2.95
Tc1 0.5150 0.5150 0.0000  2 Tc 2.58, 2 Ta 2.72
Tc2 0.7292 0.2292 0.5000  2 Tc 2.58



[2]
Computed, not measured: a relaxed structure of SrTaTc2 at the GGA-PBEsol level of DFT.

## Properties
The energy relative to the lowest polymorph listed for this composition is 442 meV/atom. The total moment is 0.00 Bohr magnetons per cell. Its energy relative to the elements is 0.83 eV/atom.

Lattice parameters (Å, degrees): 5.4070 5.4070 5.4070 145.98 122.45 68.57
With the nearest neighbours (Å) after each atom.
Element x y z (fractional)
Sr1 0.0000 0.0000 0.0000  4 Tc 2.89, 4 Ta 3.05, 2 Sr 3.16
Ta1 0.5000 0.5000 0.0000  4 Tc 2.59
Tc1 0.2708 0.7708 0.5000  2 Ta 2.59, 2 Sr 2.89
Tc2 0.7292 0.2292 0.5000  2 Ta 2.59, 2 Sr 2.89



[3]
Computed, not measured: a relaxed structure of SrTaTcW2 at the GGA-PBEsol level of DFT.

## Properties
The total moment is 0.95 Bohr magnetons per cell. Its energy relative to the elements is 1.80 eV/atom.

Lattice parameters (Å, degrees): 4.8664 4.8664 4.8343 90.00 90.00 90.00
With the nearest neighbours (Å) after each atom.
Element x y z (fractional)
Sr1 0.0000 0.0000 0.0000  8 W 3.43, 4 Tc 3.44
Ta1 0.5000 0.5000 0.5000  2 Tc 2.42, 4 W 2.43
Tc1 0.5000 0.5000 0.0000  2 Ta 2.42
W1 0.0000 0.5000 0.5000  2 Ta 2.43
W2 0.5000 0.0000 0.5000  2 Ta 2.43



Q: total moment of number 3 (SrTaTcW2)?
A: 0.95 Bohr magnetons per cell



Repeat the first record exactly.
Computed, not measured: a relaxed structure of SrTaTc2 at the GGA-PBEsol level of DFT.

## Properties
The energy relative to the lowest polymorph listed for this composition is 333 meV/atom. The total moment is 0.00 Bohr magnetons per cell. Its energy relative to the elements is 0.72 eV/atom.

Lattice parameters (Å, degrees): 5.6353 5.6353 5.6353 148.23 128.17 62.09
With the nearest neighbours (Å) after each atom.
Element x y z (fractional)
Sr1 0.0000 0.0000 0.0000  6 Tc 2.91-3.04, 2 Sr 3.08, 4 Ta 3.14-3.23
Ta1 0.2828 0.7828 0.5000  6 Tc 2.72-2.95
Tc1 0.5150 0.5150 0.0000  2 Tc 2.58, 2 Ta 2.72
Tc2 0.7292 0.2292 0.5000  2 Tc 2.58



Repeat the third record exactly.
Computed, not measured: a relaxed structure of SrTaTcW2 at the GGA-PBEsol level of DFT.

## Properties
The total moment is 0.95 Bohr magnetons per cell. Its energy relative to the elements is 1.80 eV/atom.

Lattice parameters (Å, degrees): 4.8664 4.8664 4.8343 90.00 90.00 90.00
With the nearest neighbours (Å) after each atom.
Element x y z (fractional)
Sr1 0.0000 0.0000 0.0000  8 W 3.43, 4 Tc 3.44
Ta1 0.5000 0.5000 0.5000  2 Tc 2.42, 4 W 2.43
Tc1 0.5000 0.5000 0.0000  2 Ta 2.42
W1 0.0000 0.5000 0.5000  2 Ta 2.43
W2 0.5000 0.0000 0.5000  2 Ta 2.43